A relaxed structure of KRbCrF6. Source: Alexandria, functional PBE with a Hubbard U.

Cell lengths 6.3651, 6.3651, 9.7853 Å; angles 90.00, 90.00, 120.00 degrees
Space group P-31c (No. 163)
One atom of each set of equivalent atoms:
K: 0.3333 0.6667 0.2500
Rb: 0.0000 0.0000 0.0000
Cr: 0.3333 0.6667 0.7500
F: 0.0919 0.4258 0.6416

Properties
The electronic total energy is -89.77 eV/cell. The density of states at the Fermi level is 0.00 states/eV/f.u.